[1]
# GGA-PBE ZnTeRu2, optimized geometry
data_ZnTeRu2
_cell_length_a 5.9149
_cell_length_b 5.9149
_cell_length_c 6.7357
_cell_angle_alpha 63.96
_cell_angle_beta 63.96
_cell_angle_gamma 90.00
_space_group_name_H-M_alt 'P 1'
_space_group_IT_number 1
_space_group_name_Hall 'P 1'
loop_
_atom_site_label
_atom_site_type_symbol
_atom_site_fract_x
_atom_site_fract_y
_atom_site_fract_z
Zn1 Zn 0.2500 0.7500 0.5000
Zn2 Zn 0.5000 0.5000 0.0000
Te1 Te 0.0000 0.0000 0.0000
Te2 Te 0.7500 0.2500 0.5000
Ru1 Ru 0.1318 0.6250 0.2500
Ru2 Ru 0.3750 0.3818 0.7500
Ru3 Ru 0.6182 0.1250 0.2500
Ru4 Ru 0.8750 0.8682 0.7500
# magnetic moment: 0.00 μB per atom
# total energy: -4.88 eV/atom
# uncorrected formation energy: 0.863 eV per atom
# E above lowest polymorph: 806 meV per atom

***

[2]
# GGA-PBE ZnTe2Ru, optimized geometry
data_ZnTe2Ru
_cell_length_a 8.0412
_cell_length_b 8.0412
_cell_length_c 8.0412
_cell_angle_alpha 29.62
_cell_angle_beta 29.62
_cell_angle_gamma 29.62
_space_group_name_H-M_alt 'P 1'
_space_group_IT_number 1
_space_group_name_Hall 'P 1'
loop_
_atom_site_label
_atom_site_type_symbol
_atom_site_fract_x
_atom_site_fract_y
_atom_site_fract_z
Zn1 Zn 0.0000 0.0000 0.0000
Te1 Te 0.1122 0.1122 0.1122
Te2 Te 0.8878 0.8878 0.8878
Ru1 Ru 0.5000 0.5000 0.5000
# magnetic moment: 0.00 μB per atom
# total energy: -4.18 eV/atom
# uncorrected formation energy: 0.031 eV per atom

***

[3]
# GGA-PBE Zn2TeRu, optimized geometry
data_Zn2TeRu
_cell_length_a 4.5894
_cell_length_b 4.5894
_cell_length_c 4.5894
_cell_angle_alpha 60.00
_cell_angle_beta 60.00
_cell_angle_gamma 60.00
_space_group_name_H-M_alt 'P 1'
_space_group_IT_number 1
_space_group_name_Hall 'P 1'
loop_
_atom_site_label
_atom_site_type_symbol
_atom_site_fract_x
_atom_site_fract_y
_atom_site_fract_z
Te1 Te 0.7500 0.7500 0.7500
Zn1 Zn 0.2500 0.2500 0.2500
Zn2 Zn 0.0000 0.0000 0.0000
Ru1 Ru 0.5000 0.5000 0.5000
# magnetic moment: 0.00 μB per atom
# total energy: -3.43 eV/atom
# uncorrected formation energy: 0.311 eV per atom

***

[4]
# GGA-PBE ZnTe2Ru, optimized geometry
data_ZnTe2Ru
_cell_length_a 4.8975
_cell_length_b 4.8975
_cell_length_c 4.8975
_cell_angle_alpha 60.00
_cell_angle_beta 60.00
_cell_angle_gamma 60.00
_space_group_name_H-M_alt 'P 1'
_space_group_IT_number 1
_space_group_name_Hall 'P 1'
loop_
_atom_site_label
_atom_site_type_symbol
_atom_site_fract_x
_atom_site_fract_y
_atom_site_fract_z
Te1 Te 0.2500 0.2500 0.2500
Te2 Te 0.0000 0.0000 0.0000
Ru1 Ru 0.5000 0.5000 0.5000
Zn1 Zn 0.7500 0.7500 0.7500
# magnetic moment: 0.00 μB per atom
# total energy: -3.53 eV/atom
# uncorrected formation energy: 0.679 eV per atom